Compound: Y5ZnRh2
Source: Alexandria
Functional: PBE
Structure: relaxed

Properties
DOS at the Fermi energy   11.2 states/eV/cell
E_tot   -6.597 eV per atom
Symmetry   I4/mcm, No. 140

Lattice parameters (Å, degrees): 8.623 8.623 8.623 126.93 126.93 78.36
Element x y z (fractional)
Y1 0.000 0.000 0.000
Y2 0.023 0.523 0.824
Y3 0.199 0.023 0.500
Y4 0.301 0.801 0.824
Y5 0.477 0.301 0.500
Y6 0.500 0.500 0.000
Y7 0.523 0.699 0.500
Y8 0.699 0.199 0.176
Y9 0.801 0.977 0.500
Y10 0.977 0.477 0.176
Zn1 0.250 0.250 0.000
Zn2 0.750 0.750 0.000
Rh1 0.138 0.362 0.500
Rh2 0.362 0.862 0.224
Rh3 0.638 0.138 0.776
Rh4 0.862 0.638 0.500

***

Compound: YZnRh
Source: Alexandria
Functional: PBE
Structure: relaxed

Properties
DOS at the Fermi energy   2.8 states/eV/cell
E_tot   -5.691 eV per atom
Symmetry   I4/mmm, No. 139

Lattice parameters (Å, degrees): 7.768 7.768 7.768 150.07 150.07 42.84
Element x y z (fractional)
Y1 0.173 0.173 0.000
Y2 0.827 0.827 0.000
Zn1 0.000 0.500 0.500
Zn2 0.500 0.000 0.500
Rh1 0.381 0.381 0.000
Rh2 0.619 0.619 0.000

***

Compound: YZn12Rh6
Source: Alexandria
Functional: PBE
Structure: relaxed

Properties
DOS at the Fermi energy   12.5 states/eV/cell
E_tot   -3.647 eV per atom
Symmetry   R-3m, No. 166

Lattice parameters (Å, degrees): 7.070 7.070 7.070 104.30 104.30 104.30
Element x y z (fractional)
Y1 0.000 0.000 0.000
Zn1 0.111 0.500 0.889
Zn2 0.111 0.889 0.500
Zn3 0.144 0.400 0.400
Zn4 0.400 0.144 0.400
Zn5 0.400 0.400 0.144
Zn6 0.500 0.111 0.889
Zn7 0.500 0.889 0.111
Zn8 0.600 0.600 0.856
Zn9 0.600 0.856 0.600
Zn10 0.856 0.600 0.600
Zn11 0.889 0.111 0.500
Zn12 0.889 0.500 0.111
Rh1 0.272 0.272 0.706
Rh2 0.272 0.706 0.272
Rh3 0.294 0.728 0.728
Rh4 0.706 0.272 0.272
Rh5 0.728 0.294 0.728
Rh6 0.728 0.728 0.294

***

Compound: YZnRh2
Source: Alexandria
Functional: PBE
Structure: relaxed

Properties
DOS at the Fermi energy   6.4 states/eV/cell
E_tot   -5.914 eV per atom
Symmetry   F-43m, No. 216

Lattice parameters (Å, degrees): 4.615 4.615 4.615 60.00 60.00 60.00
Element x y z (fractional)
Y1 0.000 0.000 0.000
Zn1 0.250 0.250 0.250
Rh1 0.500 0.500 0.500
Rh2 0.750 0.750 0.750

***

| no. | E_form (eV/atom) |
| --- | --- |
| 1 | -0.56 |
| 2 | -0.66 |
| 3 | -0.18 |
| 4 | -0.30 |